A relaxed structure of VNiO2, computed with GGA+U.

Geometry as CIF:
```
data_VNiO2
_symmetry_space_group_name_H-M 'P 1'
_symmetry_Int_Tables_number 1
_symmetry_space_group_name_Hall 'P 1'
_cell_length_a 3.061
_cell_length_b 5.387
_cell_length_c 6.059
_cell_angle_alpha 73.50
_cell_angle_beta 89.79
_cell_angle_gamma 89.68
loop_
_atom_site_label
_atom_site_fract_x
_atom_site_fract_y
_atom_site_fract_z
_atom_site_occupancy
V1 0.000 0.000 0.000 1
V2 0.500 0.499 0.005 1
Ni1 0.003 0.516 0.504 1
Ni2 0.514 0.964 0.500 1
O1 0.000 0.606 0.186 1
O2 0.498 0.112 0.172 1
O3 0.502 0.884 0.830 1
O4 0.998 0.397 0.821 1
```

## Properties
Polymorph energy (0 for the lowest one) in meV/atom: 0
Total magnetization in μB/f.u.: 3.0
Calculated total energy in eV/atom: -6.323
Calculated density in g cm⁻³: 4.91